No. 1
This record from OQMD via LeMat-Bulk describes a geometry-optimized Li2Y2SnPt2Pb structure. The functional is GGA-PBE.

Summary:
total energy = -43.219 eV/cell
space-group type = P-4m2
density = 9665 kg/m3

CIF file:
```
data_Li2Y2SnPt2Pb
_chemical_formula_sum 'Li2 Y2 Sn1 Pt2 Pb1'
_symmetry_space_group_name_H-M 'P 1'
_symmetry_Int_Tables_number 1
_cell_length_a 4.795
_cell_length_b 4.795
_cell_length_c 6.785
_cell_angle_alpha 90.00
_cell_angle_beta 90.00
_cell_angle_gamma 90.00
loop_
_symmetry_equiv_pos_as_xyz
'x,y,z'
loop_
_atom_site_label
_atom_site_fract_x
_atom_site_fract_y
_atom_site_fract_z
Li1 0.000 0.500 0.246
Li2 0.500 0.000 0.754
Y1 0.000 0.000 0.000
Y2 0.500 0.500 0.500
Sn1 0.500 0.500 0.000
Pt1 0.000 0.500 0.760
Pt2 0.500 0.000 0.240
Pb1 0.000 0.000 0.500
```



No. 2
This record from OQMD via LeMat-Bulk describes a geometry-optimized LaSnAsIr2 structure. The functional is GGA-PBE.

Summary:
total energy = -69.809 eV/cell
space-group type = P4/nmm
density = 11456 kg/m3

CIF file:
```
data_LaSnAsIr2
_chemical_formula_sum 'La2 Sn2 As2 Ir4'
_symmetry_space_group_name_H-M 'P 1'
_symmetry_Int_Tables_number 1
_cell_length_a 4.497
_cell_length_b 4.497
_cell_length_c 10.280
_cell_angle_alpha 90.00
_cell_angle_beta 90.00
_cell_angle_gamma 90.00
loop_
_symmetry_equiv_pos_as_xyz
'x,y,z'
loop_
_atom_site_label
_atom_site_fract_x
_atom_site_fract_y
_atom_site_fract_z
La1 0.250 0.250 0.231
La2 0.750 0.750 0.769
Sn1 0.250 0.250 0.639
Sn2 0.750 0.750 0.361
As1 0.250 0.750 0.000
As2 0.750 0.250 0.000
Ir1 0.250 0.250 0.897
Ir2 0.250 0.750 0.500
Ir3 0.750 0.250 0.500
Ir4 0.750 0.750 0.103
```



No. 3
This record from OQMD via LeMat-Bulk describes a geometry-optimized Hf3ZrSb2C2 structure. The functional is GGA-PBE.

Summary:
total energy = -71.191 eV/cell
space-group type = P3m1
density = 10527 kg/m3

CIF file:
```
data_Hf3ZrSb2C2
_chemical_formula_sum 'Hf3 Zr1 Sb2 C2'
_symmetry_space_group_name_H-M 'P 1'
_symmetry_Int_Tables_number 1
_cell_length_a 3.422
_cell_length_b 3.422
_cell_length_c 13.911
_cell_angle_alpha 90.00
_cell_angle_beta 90.00
_cell_angle_gamma 120.00
loop_
_symmetry_equiv_pos_as_xyz
'x,y,z'
loop_
_atom_site_label
_atom_site_fract_x
_atom_site_fract_y
_atom_site_fract_z
Hf1 0.000 0.000 0.000
Hf2 0.000 0.000 0.326
Hf3 0.667 0.333 0.497
Zr1 0.667 0.333 0.825
Sb1 0.000 0.000 0.660
Sb2 0.667 0.333 0.163
C1 0.333 0.667 0.412
C2 0.333 0.667 0.917
```



No. 4
This record from OQMD via LeMat-Bulk describes a geometry-optimized Lu2Sc4Al3C3 structure. The functional is GGA-PBE.

Summary:
total energy = -157.455 eV/cell
space-group type = C2/c
density = 4951 kg/m3

CIF file:
```
data_Lu2Sc4Al3C3
_chemical_formula_sum 'Lu4 Sc8 Al6 C6'
_symmetry_space_group_name_H-M 'P 1'
_symmetry_Int_Tables_number 1
_cell_length_a 5.803
_cell_length_b 5.803
_cell_length_c 15.257
_cell_angle_alpha 101.02
_cell_angle_beta 101.02
_cell_angle_gamma 59.95
loop_
_symmetry_equiv_pos_as_xyz
'x,y,z'
loop_
_atom_site_label
_atom_site_fract_x
_atom_site_fract_y
_atom_site_fract_z
Lu1 0.033 0.868 0.599
Lu2 0.132 0.967 0.901
Lu3 0.868 0.033 0.099
Lu4 0.967 0.132 0.401
Sc1 0.193 0.357 0.078
Sc2 0.304 0.477 0.422
Sc3 0.357 0.193 0.578
Sc4 0.477 0.304 0.922
Sc5 0.523 0.696 0.078
Sc6 0.643 0.807 0.422
Sc7 0.696 0.523 0.578
Sc8 0.807 0.643 0.922
Al1 0.085 0.402 0.750
Al2 0.402 0.085 0.250
Al3 0.427 0.573 0.250
Al4 0.573 0.427 0.750
Al5 0.598 0.915 0.750
Al6 0.915 0.598 0.250
C1 0.000 0.500 0.500
C2 0.166 0.667 0.000
C3 0.333 0.834 0.500
C4 0.500 0.000 0.000
C5 0.667 0.166 0.500
C6 0.834 0.333 0.000
```